# PBE-GGA CaSi2Mo, relaxed
data_CaSi2Mo
_cell_length_a 4.2401
_cell_length_b 4.4656
_cell_length_c 3.6628
_cell_angle_alpha 90.00
_cell_angle_beta 90.00
_cell_angle_gamma 90.00
_symmetry_space_group_name_H-M 'P 1'
_symmetry_Int_Tables_number 1
_symmetry_space_group_name_Hall 'P 1'
loop_
_atom_site_label
_atom_site_fract_x
_atom_site_fract_y
_atom_site_fract_z
Ca1 0.5000 0.0000 0.5000
Mo1 0.0000 0.5000 0.5000
Si1 0.0000 0.0000 0.0000
Si2 0.5000 0.5000 0.0000
# Formation energy (no corrections) = 300 meV/atom
# Space-group type = No. 47
# VASP energy = -22.5 eV/cell
# ΔE to the lowest computed polymorph = 584.0 meV per atom
# Crystal system = orthorhombic

# PBE-GGA LiLaW2, relaxed
data_LiLaW2
_cell_length_a 2.8052
_cell_length_b 2.8052
_cell_length_c 10.6863
_cell_angle_alpha 90.00
_cell_angle_beta 90.00
_cell_angle_gamma 114.74
_symmetry_space_group_name_H-M 'P 1'
_symmetry_Int_Tables_number 1
_symmetry_space_group_name_Hall 'P 1'
loop_
_atom_site_label
_atom_site_fract_x
_atom_site_fract_y
_atom_site_fract_z
La1 0.5000 0.5000 0.2500
Li1 0.5000 0.5000 0.7500
W1 0.0000 0.0000 0.9785
W2 0.0000 0.0000 0.5215
# Space-group type = No. 65
# ΔH_f (0 K) = 0.8503 eV/atom
# VASP energy = -29.3 eV/cell
# ΔE to the lowest computed polymorph = 400.8 meV per atom
# Crystal system = orthorhombic

# PBE-GGA Li2TeAs, relaxed
data_Li2TeAs
_cell_length_a 6.1391
_cell_length_b 6.1391
_cell_length_c 4.4742
_cell_angle_alpha 70.01
_cell_angle_beta 70.01
_cell_angle_gamma 31.66
_symmetry_space_group_name_H-M 'P 1'
_symmetry_Int_Tables_number 1
_symmetry_space_group_name_Hall 'P 1'
loop_
_atom_site_label
_atom_site_fract_x
_atom_site_fract_y
_atom_site_fract_z
As1 0.2455 0.2455 0.3774
Li1 0.0302 0.0302 0.8519
Li2 0.7507 0.7507 0.8770
Te1 0.4736 0.4736 0.3936
# Formation energy (no corrections) = -497 meV/atom
# Space-group type = No. 8
# VASP energy = -13.6 eV/cell
# ΔE to the lowest computed polymorph = 9.1 meV per atom
# Crystal system = monoclinic

# PBE-GGA MgP2Pd7, relaxed
data_MgP2Pd7
_cell_length_a 3.9732
_cell_length_b 3.9732
_cell_length_c 10.2320
_cell_angle_alpha 101.20
_cell_angle_beta 101.20
_cell_angle_gamma 90.00
_symmetry_space_group_name_H-M 'P 1'
_symmetry_Int_Tables_number 1
_symmetry_space_group_name_Hall 'P 1'
loop_
_atom_site_label
_atom_site_fract_x
_atom_site_fract_y
_atom_site_fract_z
Mg1 0.0000 0.0000 0.0000
P1 0.6708 0.6708 0.3415
P2 0.3292 0.3292 0.6585
Pd1 0.1047 0.6047 0.2094
Pd2 0.3953 0.8953 0.7906
Pd3 0.6047 0.1047 0.2094
Pd4 0.5000 0.5000 0.0000
Pd5 0.7500 0.2500 0.5000
Pd6 0.8953 0.3953 0.7906
Pd7 0.2500 0.7500 0.5000
# Space-group type = No. 139
# ΔH_f (0 K) = -0.5470 eV/atom
# VASP energy = -54.2 eV/cell
# Crystal system = tetragonal

# PBE-GGA PrPtAu, relaxed
data_PrPtAu
_cell_length_a 4.1780
_cell_length_b 8.7924
_cell_length_c 7.3614
_cell_angle_alpha 90.00
_cell_angle_beta 90.00
_cell_angle_gamma 90.00
_symmetry_space_group_name_H-M 'P 1'
_symmetry_Int_Tables_number 1
_symmetry_space_group_name_Hall 'P 1'
loop_
_atom_site_label
_atom_site_fract_x
_atom_site_fract_y
_atom_site_fract_z
Pr1 0.2500 0.8086 0.4433
Pr2 0.7500 0.3086 0.0567
Pr3 0.2500 0.6914 0.9433
Pr4 0.7500 0.1914 0.5567
Au1 0.7500 0.9339 0.1311
Au2 0.7500 0.5661 0.6311
Au3 0.2500 0.0661 0.8689
Au4 0.2500 0.4339 0.3689
Pt1 0.7500 0.6227 0.2327
Pt2 0.7500 0.8773 0.7327
Pt3 0.2500 0.1227 0.2673
Pt4 0.2500 0.3773 0.7673
# Space-group type = No. 62
# ΔH_f (0 K) = -0.9069 eV/atom
# VASP energy = -67.3 eV/cell
# ΔE to the lowest computed polymorph = 0.0 meV per atom
# Crystal system = orthorhombic

# PBE-GGA MgBe, relaxed
data_MgBe
_cell_length_a 3.7042
_cell_length_b 3.7042
_cell_length_c 3.7042
_cell_angle_alpha 60.00
_cell_angle_beta 60.00
_cell_angle_gamma 60.00
_symmetry_space_group_name_H-M 'P 1'
_symmetry_Int_Tables_number 1
_symmetry_space_group_name_Hall 'P 1'
loop_
_atom_site_label
_atom_site_fract_x
_atom_site_fract_y
_atom_site_fract_z
Be1 0.0000 0.0000 0.0000
Mg1 0.5000 0.5000 0.5000
# Space-group type = No. 225
# ΔH_f (0 K) = 0.8376 eV/atom
# VASP energy = -3.6 eV/cell
# ΔE to the lowest computed polymorph = 625.0 meV per atom
# Crystal system = cubic

# PBE-GGA Ba2AlAg, relaxed
data_Ba2AlAg
_cell_length_a 3.8767
_cell_length_b 3.8769
_cell_length_c 9.6409
_cell_angle_alpha 90.00
_cell_angle_beta 90.00
_cell_angle_gamma 89.99
_symmetry_space_group_name_H-M 'P 1'
_symmetry_Int_Tables_number 1
_symmetry_space_group_name_Hall 'P 1'
loop_
_atom_site_label
_atom_site_fract_x
_atom_site_fract_y
_atom_site_fract_z
Ba1 0.0000 0.0000 0.9199
Ba2 0.5000 0.5000 0.3287
Ag1 0.0000 0.0000 0.5707
Al1 0.5000 0.5000 0.6807
# Space-group type = No. 99
# ΔH_f (0 K) = 0.0002 eV/atom
# VASP energy = -10.4 eV/cell
# Crystal system = tetragonal

# PBE-GGA LiSc2SiO, relaxed
data_LiSc2SiO
_cell_length_a 4.3267
_cell_length_b 4.3267
_cell_length_c 3.9217
_cell_angle_alpha 90.00
_cell_angle_beta 90.00
_cell_angle_gamma 90.00
_symmetry_space_group_name_H-M 'P 1'
_symmetry_Int_Tables_number 1
_symmetry_space_group_name_Hall 'P 1'
loop_
_atom_site_label
_atom_site_fract_x
_atom_site_fract_y
_atom_site_fract_z
Sc1 0.0000 0.5000 0.0000
Sc2 0.5000 0.0000 0.0000
Si1 0.5000 0.5000 0.5000
O1 0.0000 0.0000 0.0000
Li1 0.0000 0.0000 0.5000
# Formation energy (no corrections) = -1561 meV/atom
# Space-group type = No. 123
# VASP energy = -32.8 eV/cell
# Crystal system = tetragonal

# PBE-GGA UTiH2O6, relaxed
data_UTiH2O6
_cell_length_a 5.0848
_cell_length_b 5.4675
_cell_length_c 5.6301
_cell_angle_alpha 94.44
_cell_angle_beta 113.99
_cell_angle_gamma 120.62
_symmetry_space_group_name_H-M 'P 1'
_symmetry_Int_Tables_number 1
_symmetry_space_group_name_Hall 'P 1'
loop_
_atom_site_label
_atom_site_fract_x
_atom_site_fract_y
_atom_site_fract_z
U1 0.9965 0.4978 0.4803
Ti1 0.9966 0.9978 0.9803
H1 0.6202 0.7237 0.1925
H2 0.3729 0.2720 0.7680
O1 0.5158 0.8642 0.7309
O2 0.4773 0.1312 0.2295
O3 0.8398 0.7615 0.2121
O4 0.1081 0.3651 0.2208
O5 0.8850 0.6304 0.7396
O6 0.1533 0.2340 0.7484
# Space-group type = No. 2
# VASP energy = -79.4 eV/cell
# Crystal system = triclinic

# PBE-GGA Cs4CuF7, relaxed
data_Cs4CuF7
_cell_length_a 4.4650
_cell_length_b 8.1893
_cell_length_c 9.0618
_cell_angle_alpha 69.67
_cell_angle_beta 75.74
_cell_angle_gamma 74.18
_symmetry_space_group_name_H-M 'P 1'
_symmetry_Int_Tables_number 1
_symmetry_space_group_name_Hall 'P 1'
loop_
_atom_site_label
_atom_site_fract_x
_atom_site_fract_y
_atom_site_fract_z
Cs1 0.5547 0.6342 0.2565
Cs2 0.4453 0.3658 0.7435
Cs3 0.7209 0.8648 0.6933
Cs4 0.2791 0.1352 0.3067
Cu1 0.0000 0.0000 0.0000
F1 0.8763 0.2322 0.0152
F2 0.1237 0.7678 0.9848
F3 0.0637 0.0934 0.7791
F4 0.9363 0.9066 0.2209
F5 0.3590 0.7391 0.5430
F6 0.5000 0.0000 0.0000
F7 0.6410 0.2609 0.4570
# Formation energy (no corrections) = -2304 meV/atom
# Space-group type = No. 12
# VASP energy = -48.3 eV/cell
# Crystal system = monoclinic

# PBE-GGA Pm4CdIn3, relaxed
data_Pm4CdIn3
_cell_length_a 5.4270
_cell_length_b 5.4270
_cell_length_c 8.6418
_cell_angle_alpha 108.31
_cell_angle_beta 108.31
_cell_angle_gamma 90.14
_symmetry_space_group_name_H-M 'P 1'
_symmetry_Int_Tables_number 1
_symmetry_space_group_name_Hall 'P 1'
loop_
_atom_site_label
_atom_site_fract_x
_atom_site_fract_y
_atom_site_fract_z
Cd1 0.5000 0.0000 0.0000
In1 0.0000 0.5000 0.0000
In2 0.7482 0.2483 0.4966
In3 0.2518 0.7517 0.5034
Pm1 0.3756 0.3757 0.7513
Pm2 0.6244 0.6243 0.2487
Pm3 0.1244 0.1244 0.2487
Pm4 0.8756 0.8756 0.7513
# Space-group type = No. 12
# ΔH_f (0 K) = -0.4586 eV/atom
# VASP energy = -31.8 eV/cell
# ΔE to the lowest computed polymorph = 0.0 meV per atom
# Crystal system = monoclinic

# PBE-GGA Tc2AgIr, relaxed
data_Tc2AgIr
_cell_length_a 7.2962
_cell_length_b 7.2962
_cell_length_c 5.7897
_cell_angle_alpha 50.94
_cell_angle_beta 50.94
_cell_angle_gamma 90.00
_symmetry_space_group_name_H-M 'P 1'
_symmetry_Int_Tables_number 1
_symmetry_space_group_name_Hall 'P 1'
loop_
_atom_site_label
_atom_site_fract_x
_atom_site_fract_y
_atom_site_fract_z
Ir1 0.0000 0.0000 0.0000
Ir2 0.7500 0.2500 0.5000
Tc1 0.6742 0.1250 0.2500
Tc2 0.0758 0.6250 0.2500
Tc3 0.3750 0.3258 0.7500
Tc4 0.8750 0.9242 0.7500
Ag1 0.5000 0.5000 0.0000
Ag2 0.2500 0.7500 0.5000
# Space-group type = No. 122
# ΔH_f (0 K) = 0.8320 eV/atom
# VASP energy = -58.2 eV/cell
# ΔE to the lowest computed polymorph = 693.2 meV per atom
# Crystal system = tetragonal

# PBE-GGA CuAgSnIr, relaxed
data_CuAgSnIr
_cell_length_a 4.5257
_cell_length_b 4.5257
_cell_length_c 4.5257
_cell_angle_alpha 60.00
_cell_angle_beta 60.00
_cell_angle_gamma 60.00
_symmetry_space_group_name_H-M 'P 1'
_symmetry_Int_Tables_number 1
_symmetry_space_group_name_Hall 'P 1'
loop_
_atom_site_label
_atom_site_fract_x
_atom_site_fract_y
_atom_site_fract_z
Ir1 0.0000 0.0000 0.0000
Sn1 0.2500 0.2500 0.2500
Ag1 0.5000 0.5000 0.5000
Cu1 0.7500 0.7500 0.7500
# Space-group type = No. 216
# ΔH_f (0 K) = 0.0758 eV/atom
# VASP energy = -19.5 eV/cell
# Crystal system = cubic

# PBE-GGA KTlAg2F8, relaxed
data_KTlAg2F8
_cell_length_a 5.5689
_cell_length_b 5.5689
_cell_length_c 6.9168
_cell_angle_alpha 113.74
_cell_angle_beta 113.74
_cell_angle_gamma 90.00
_symmetry_space_group_name_H-M 'P 1'
_symmetry_Int_Tables_number 1
_symmetry_space_group_name_Hall 'P 1'
loop_
_atom_site_label
_atom_site_fract_x
_atom_site_fract_y
_atom_site_fract_z
K1 0.7500 0.2500 0.5000
Tl1 0.0000 0.0000 0.0000
Ag1 0.5000 0.5000 0.0000
Ag2 0.2500 0.7500 0.5000
F1 0.8832 0.8553 0.2297
F2 0.3465 0.3744 0.2297
F3 0.6258 0.6536 0.7704
F4 0.1446 0.1168 0.7704
F5 0.8832 0.3742 0.2296
F6 0.3464 0.8554 0.2296
F7 0.1447 0.6535 0.7703
F8 0.6256 0.1168 0.7703
# Formation energy (no corrections) = -1552 meV/atom
# Space-group type = No. 119
# VASP energy = -42.8 eV/cell
# Crystal system = tetragonal

# PBE-GGA Ni2Sb2Au, relaxed
data_Ni2Sb2Au
_cell_length_a 7.0143
_cell_length_b 7.0143
_cell_length_c 3.5640
_cell_angle_alpha 90.00
_cell_angle_beta 90.00
_cell_angle_gamma 90.00
_symmetry_space_group_name_H-M 'P 1'
_symmetry_Int_Tables_number 1
_symmetry_space_group_name_Hall 'P 1'
loop_
_atom_site_label
_atom_site_fract_x
_atom_site_fract_y
_atom_site_fract_z
Sb1 0.1665 0.6665 0.5000
Sb2 0.6665 0.8335 0.5000
Sb3 0.8335 0.3335 0.5000
Sb4 0.3335 0.1665 0.5000
Au1 0.0000 0.0000 0.0000
Au2 0.5000 0.5000 0.0000
Ni1 0.3691 0.8691 0.0000
Ni2 0.8691 0.6309 0.0000
Ni3 0.6309 0.1309 0.0000
Ni4 0.1309 0.3691 0.0000
# Formation energy (no corrections) = -30 meV/atom
# Space-group type = No. 127
# VASP energy = -46.5 eV/cell
# ΔE to the lowest computed polymorph = 0.0 meV per atom
# Crystal system = tetragonal

# PBE-GGA PrScH, relaxed
data_PrScH
_cell_length_a 3.4880
_cell_length_b 3.4880
_cell_length_c 5.7109
_cell_angle_alpha 90.00
_cell_angle_beta 90.00
_cell_angle_gamma 120.00
_symmetry_space_group_name_H-M 'P 1'
_symmetry_Int_Tables_number 1
_symmetry_space_group_name_Hall 'P 1'
loop_
_atom_site_label
_atom_site_fract_x
_atom_site_fract_y
_atom_site_fract_z
Pr1 0.0000 0.0000 0.0748
Sc1 0.3333 0.6667 0.5600
H1 0.6667 0.3333 0.3651
# Space-group type = No. 156
# VASP energy = -14.9 eV/cell
# ΔE to the lowest computed polymorph = 73.3 meV per atom
# Crystal system = trigonal

# PBE-GGA AlB3Ir, relaxed
data_AlB3Ir
_cell_length_a 3.9904
_cell_length_b 3.9904
_cell_length_c 3.9904
_cell_angle_alpha 90.00
_cell_angle_beta 90.00
_cell_angle_gamma 90.00
_symmetry_space_group_name_H-M 'P 1'
_symmetry_Int_Tables_number 1
_symmetry_space_group_name_Hall 'P 1'
loop_
_atom_site_label
_atom_site_fract_x
_atom_site_fract_y
_atom_site_fract_z
B1 0.0000 0.5000 0.0000
B2 0.0000 0.0000 0.5000
B3 0.5000 0.0000 0.0000
Ir1 0.5000 0.5000 0.5000
Al1 0.0000 0.0000 0.0000
# Space-group type = No. 221
# ΔH_f (0 K) = 2.0970 eV/atom
# VASP energy = -22.2 eV/cell
# ΔE to the lowest computed polymorph = 1100.1 meV per atom
# Crystal system = cubic

# PBE-GGA VPbS2Cl, relaxed
data_VPbS2Cl
_cell_length_a 4.7725
_cell_length_b 4.7725
_cell_length_c 5.0028
_cell_angle_alpha 90.00
_cell_angle_beta 90.00
_cell_angle_gamma 90.00
_symmetry_space_group_name_H-M 'P 1'
_symmetry_Int_Tables_number 1
_symmetry_space_group_name_Hall 'P 1'
loop_
_atom_site_label
_atom_site_fract_x
_atom_site_fract_y
_atom_site_fract_z
Pb1 0.5000 0.5000 0.5000
S1 0.0000 0.5000 0.0000
S2 0.5000 0.0000 0.0000
Cl1 0.0000 0.0000 0.5000
V1 0.0000 0.0000 0.0000
# Formation energy (no corrections) = -556 meV/atom
# Space-group type = No. 123
# VASP energy = -25.7 eV/cell
# ΔE to the lowest computed polymorph = 0.0 meV per atom
# Crystal system = tetragonal

# PBE-GGA CaNd2Al, relaxed
data_CaNd2Al
_cell_length_a 3.7104
_cell_length_b 3.7104
_cell_length_c 9.4108
_cell_angle_alpha 90.00
_cell_angle_beta 90.00
_cell_angle_gamma 90.00
_symmetry_space_group_name_H-M 'P 1'
_symmetry_Int_Tables_number 1
_symmetry_space_group_name_Hall 'P 1'
loop_
_atom_site_label
_atom_site_fract_x
_atom_site_fract_y
_atom_site_fract_z
Ca1 0.5000 0.5000 0.5000
Nd1 0.0000 0.0000 0.8044
Nd2 0.0000 0.0000 0.1956
Al1 0.5000 0.5000 0.0000
# Space-group type = No. 123
# ΔH_f (0 K) = -0.1276 eV/atom
# VASP energy = -15.8 eV/cell
# ΔE to the lowest computed polymorph = 0.0 meV per atom
# Crystal system = tetragonal

# PBE-GGA Cs2BaRuO6, relaxed
data_Cs2BaRuO6
_cell_length_a 6.5533
_cell_length_b 6.6337
_cell_length_c 6.6337
_cell_angle_alpha 120.00
_cell_angle_beta 90.00
_cell_angle_gamma 90.00
_symmetry_space_group_name_H-M 'P 1'
_symmetry_Int_Tables_number 1
_symmetry_space_group_name_Hall 'P 1'
loop_
_atom_site_label
_atom_site_fract_x
_atom_site_fract_y
_atom_site_fract_z
Cs1 0.1153 0.3333 0.6667
Cs2 0.8847 0.6667 0.3333
Ba1 0.5000 0.0000 0.0000
Ru1 0.0000 0.0000 0.0000
O1 0.8291 0.1332 0.2664
O2 0.8291 0.1332 0.8668
O3 0.8291 0.7336 0.8668
O4 0.1709 0.8668 0.1332
O5 0.1709 0.2664 0.1332
O6 0.1709 0.8668 0.7336
# Formation energy (no corrections) = -1323 meV/atom
# Space-group type = No. 164
# VASP energy = -55.9 eV/cell
# Crystal system = trigonal